[1]
VASP calculation (PBE) on a geometry-optimized NaNbCo3 structure.

Structure (POSCAR):
```
NaNbCo3
1.0
4.568 0.000 0.000
0.000 4.568 0.000
0.000 0.000 4.568
Na Nb Co
1 1 3
Direct
0.000 0.000 0.000 Na
0.500 0.500 0.500 Nb
0.000 0.500 0.500 Co
0.500 0.000 0.500 Co
0.500 0.500 0.000 Co
```

calculated formation energy: 1.21 eV/atom
space-group type: Pm-3m

***

[2]
VASP calculation (PBE) on a geometry-optimized Er8Ga3Te3S structure.

Structure (POSCAR):
```
Er8Ga3Te3S
1.0
7.077 -4.098 0.000
7.077 4.098 0.000
-4.706 0.000 7.108
Er Ga Te S
8 3 3 1
Direct
0.240 0.741 0.723 Er
0.244 0.244 0.731 Er
0.258 0.258 0.277 Er
0.259 0.760 0.277 Er
0.741 0.240 0.723 Er
0.742 0.742 0.723 Er
0.756 0.756 0.269 Er
0.760 0.259 0.277 Er
0.000 0.000 0.500 Ga
0.000 0.500 0.500 Ga
0.500 0.000 0.500 Ga
0.000 0.500 0.000 Te
0.500 0.000 0.000 Te
0.500 0.500 0.000 Te
0.500 0.500 0.500 S
```

uncorrected formation energy: -0.921 eV per atom
space-group type: C2/m

***

[3]
VASP calculation (PBE) on a geometry-optimized Cs3Ac2ScTe6 structure.

Structure (POSCAR):
```
Cs3Ac2ScTe6
1.0
4.104 -7.107 0.000
4.104 7.107 0.000
-2.751 0.000 8.941
Cs Ac Sc Te
3 2 1 6
Direct
0.000 0.000 0.000 Cs
0.327 0.673 0.000 Cs
0.673 0.327 0.000 Cs
0.166 0.834 0.500 Ac
0.834 0.166 0.500 Ac
0.500 0.500 0.500 Sc
0.131 0.436 0.307 Te
0.261 0.261 0.695 Te
0.436 0.131 0.307 Te
0.564 0.869 0.693 Te
0.739 0.739 0.305 Te
0.869 0.564 0.693 Te
```

uncorrected formation energy: -1.391 eV per atom
space-group type: C2/m

***

[4]
VASP calculation (PBE) on a geometry-optimized CaTl2Fe structure.

Structure (POSCAR):
```
CaTl2Fe
1.0
4.597 0.000 0.000
-2.298 3.981 0.000
0.000 0.000 16.765
Ca Tl Fe
3 6 3
Direct
0.000 0.000 0.000 Ca
0.333 0.667 0.667 Ca
0.667 0.333 0.333 Ca
0.000 0.000 0.224 Tl
0.000 0.000 0.776 Tl
0.333 0.667 0.443 Tl
0.333 0.667 0.890 Tl
0.667 0.333 0.110 Tl
0.667 0.333 0.557 Tl
0.000 0.000 0.500 Fe
0.333 0.667 0.167 Fe
0.667 0.333 0.833 Fe
```

calculated formation energy: 0.19 eV/atom
space-group type: R-3m

***

[5]
VASP calculation (PBE) on a geometry-optimized IrW structure.

Structure (POSCAR):
```
IrW
1.0
2.773 0.000 0.000
-1.387 2.402 0.000
0.000 0.000 27.873
Ir W
6 6
Direct
0.000 0.000 0.123 Ir
0.000 0.000 0.877 Ir
0.333 0.667 0.543 Ir
0.333 0.667 0.790 Ir
0.667 0.333 0.210 Ir
0.667 0.333 0.457 Ir
0.000 0.000 0.378 W
0.000 0.000 0.622 W
0.333 0.667 0.045 W
0.333 0.667 0.288 W
0.667 0.333 0.712 W
0.667 0.333 0.955 W
```

calculated formation energy: -0.01 eV/atom
space-group type: R-3m

***

[6]
VASP calculation (PBE) on a geometry-optimized GaCuSn2 structure.

Structure (POSCAR):
```
GaCuSn2
1.0
4.322 0.000 0.000
-2.161 3.743 0.000
0.000 0.000 16.893
Ga Cu Sn
3 3 6
Direct
0.000 0.000 0.000 Ga
0.333 0.667 0.667 Ga
0.667 0.333 0.333 Ga
0.000 0.000 0.159 Cu
0.333 0.667 0.825 Cu
0.667 0.333 0.492 Cu
0.000 0.000 0.567 Sn
0.000 0.000 0.765 Sn
0.333 0.667 0.234 Sn
0.333 0.667 0.431 Sn
0.667 0.333 0.098 Sn
0.667 0.333 0.900 Sn
```

calculated formation energy: 0.07 eV/atom
space-group type: R3m

***

[7]
VASP calculation (PBE) on a geometry-optimized Pm2Dy3Ho6Th structure.

Structure (POSCAR):
```
Pm2Dy3Ho6Th
1.0
3.085 -5.338 0.000
3.085 5.338 0.000
-2.055 0.000 11.568
Pm Dy Ho Th
2 3 6 1
Direct
0.167 0.833 0.000 Pm
0.833 0.167 0.000 Pm
0.000 0.000 0.500 Dy
0.333 0.667 0.500 Dy
0.667 0.333 0.500 Dy
0.086 0.415 0.749 Ho
0.255 0.255 0.251 Ho
0.415 0.086 0.749 Ho
0.585 0.914 0.251 Ho
0.745 0.745 0.749 Ho
0.914 0.585 0.251 Ho
0.500 0.500 0.000 Th
```

calculated formation energy: 0.03 eV/atom
space-group type: C2/m

***

[8]
VASP calculation (PBE) on a geometry-optimized Sm4Y5Ho3 structure.

Structure (POSCAR):
```
Sm4Y5Ho3
1.0
6.197 0.000 0.000
0.011 7.157 0.000
0.001 0.012 8.757
Sm Y Ho
4 5 3
Direct
0.166 0.250 0.168 Sm
0.333 0.000 0.834 Sm
0.667 0.000 0.166 Sm
0.834 0.750 0.832 Sm
0.000 0.000 0.500 Y
0.332 0.500 0.833 Y
0.499 0.749 0.500 Y
0.501 0.251 0.500 Y
0.668 0.500 0.167 Y
0.000 0.500 0.500 Ho
0.167 0.749 0.168 Ho
0.833 0.251 0.832 Ho
```

calculated formation energy: 0.02 eV/atom
space-group type: P-1

***

[9]
VASP calculation (PBE) on a geometry-optimized ScRePdS2 structure.

Structure (POSCAR):
```
ScRePdS2
1.0
4.736 0.000 0.000
0.000 4.736 0.000
0.000 0.000 5.320
Sc Re Pd S
1 1 1 2
Direct
0.000 0.000 0.000 Sc
0.000 0.000 0.500 Re
0.500 0.500 0.500 Pd
0.000 0.500 0.000 S
0.500 0.000 0.000 S
```

uncorrected formation energy: 1.021 eV per atom
space-group type: P4/mmm

***

[10]
VASP calculation (PBE) on a geometry-optimized Zr6NiPd5 structure.

Structure (POSCAR):
```
Zr6NiPd5
1.0
4.647 0.000 0.000
-0.014 7.090 0.000
-2.063 -3.520 6.753
Zr Ni Pd
6 1 5
Direct
0.008 0.260 0.039 Zr
0.330 0.576 0.650 Zr
0.337 0.087 0.692 Zr
0.663 0.913 0.308 Zr
0.670 0.424 0.350 Zr
0.992 0.740 0.961 Zr
0.500 0.000 0.000 Ni
0.175 0.700 0.330 Pd
0.180 0.136 0.341 Pd
0.500 0.500 0.000 Pd
0.820 0.864 0.659 Pd
0.825 0.300 0.670 Pd
```

calculated formation energy: -0.55 eV/atom
space-group type: P-1

***

[11]
VASP calculation (PBE) on a geometry-optimized Be11CuRu structure.

Structure (POSCAR):
```
Be11CuRu
1.0
2.114 -5.088 0.000
2.114 5.088 0.000
-2.094 0.000 5.228
Be Cu Ru
11 1 1
Direct
0.000 0.000 0.000 Be
0.000 0.500 0.500 Be
0.015 0.660 0.159 Be
0.286 0.499 0.296 Be
0.340 0.985 0.841 Be
0.499 0.286 0.296 Be
0.500 0.000 0.500 Be
0.501 0.714 0.704 Be
0.660 0.015 0.159 Be
0.714 0.501 0.704 Be
0.985 0.340 0.841 Be
0.500 0.500 0.000 Cu
0.000 0.000 0.500 Ru
```

calculated formation energy: -0.13 eV/atom
space-group type: C2/m

***

[12]
VASP calculation (PBE) on a geometry-optimized ScRePt2 structure.

Structure (POSCAR):
```
ScRePt2
1.0
5.615 0.000 0.000
0.000 8.060 0.000
0.000 0.000 2.810
Sc Re Pt
2 2 4
Direct
0.000 0.000 0.000 Sc
0.500 0.500 0.000 Sc
0.000 0.500 0.000 Re
0.500 0.000 0.000 Re
0.250 0.250 0.500 Pt
0.250 0.750 0.500 Pt
0.750 0.250 0.500 Pt
0.750 0.750 0.500 Pt
```

calculated formation energy: -0.57 eV/atom
space-group type: Cmmm

***

Density / g/cm3: 5.10, 7.90, 5.30, 8.20, 20.18, 6.76, 8.71, 6.59, 5.59, 8.49, 3.90, 16.23